(1)
Cs3Sb5S9 | PBE-GGA | optimized geometry

a = 13.6512 Å, b = 13.6512 Å, c = 9.4829 Å
α = 95.75°, β = 95.75°, γ = 139.75°
Fractional positions:
1 Cs 0.0549 0.4863 0.7417
2 Cs 0.0812 0.9188 0.0000
3 Cs 0.4863 0.0549 0.7417
4 Cs 0.5137 0.9451 0.2583
5 Cs 0.9188 0.0812 0.0000
6 Cs 0.9451 0.5137 0.2583
7 Sb 0.0769 0.9231 0.5000
8 Sb 0.2193 0.4634 0.3406
9 Sb 0.3690 0.3690 0.6189
10 Sb 0.4264 0.5736 0.0000
11 Sb 0.4634 0.2193 0.3406
12 Sb 0.5366 0.7807 0.6594
13 Sb 0.5736 0.4264 0.0000
14 Sb 0.6310 0.6310 0.3811
15 Sb 0.7807 0.5366 0.6594
16 Sb 0.9231 0.0769 0.5000
17 S 0.0565 0.7462 0.6542
18 S 0.1329 0.1329 0.3840
19 S 0.1833 0.4975 0.1031
20 S 0.1934 0.3416 0.7305
21 S 0.2538 0.9435 0.3458
22 S 0.3084 0.6916 0.5000
23 S 0.3416 0.1934 0.7305
24 S 0.3778 0.3778 0.1201
25 S 0.4975 0.1833 0.1031
26 S 0.5025 0.8167 0.8969
27 S 0.6222 0.6222 0.8799
28 S 0.6584 0.8066 0.2695
29 S 0.6916 0.3084 0.5000
30 S 0.7462 0.0565 0.6542
31 S 0.8066 0.6584 0.2695
32 S 0.8167 0.5025 0.8969
33 S 0.8671 0.8671 0.6160
34 S 0.9435 0.2538 0.3458

Calculated values
- DFT total energy (eV for the cell shown) = -141.21

---

(2)
TeAuSeO2 | PBE-GGA | optimized geometry

a = 3.9720 Å, b = 3.9720 Å, c = 7.1614 Å
α = 90.00°, β = 90.00°, γ = 90.00°
Fractional positions:
1 Te 0.0000 0.0000 0.0000
2 Au 0.0000 0.0000 0.5000
3 Se 0.5000 0.5000 0.0000
4 O 0.0000 0.5000 0.5000
5 O 0.5000 0.0000 0.5000

Calculated values
- DFT total energy (eV for the cell shown) = -17.66
- DOS(E_F) (states/eV/atom) = 0.954

---

Record-wise uncorrected formation energy values, in meV/atom: -605 433